VASP calculation (GGA-PBE) on a relaxed Pr6NpSe8 crystal.

a = 12.014 Å, b = 12.014 Å, c = 12.014 Å
α = 90.00°, β = 90.00°, γ = 90.00°
Space group Fm-3m (No. 225)
Symmetry-distinct sites (fractional):
Pr  0.000  0.250  0.250 x24
Np  0.000  0.000  0.000 x4
Se  0.000  0.000  0.247 x24
Se  0.250  0.250  0.250 x8

Properties
Fermi-level density of states (states/eV/cell): 69.6
Total magnetization (μB per atom): 0.339

***

VASP calculation (GGA-PBE) on a relaxed PrNpSe4 crystal.

a = 6.818 Å, b = 6.872 Å, c = 7.068 Å
α = 90.00°, β = 90.24°, γ = 90.00°
Space group C2/m (No. 12)
Symmetry-distinct sites (fractional):
Pr  0.000  0.000  0.000 x2
Np  0.000  0.500  0.500 x2
Se  0.250  0.249  0.734 x8

Properties
Fermi-level density of states (states/eV/cell): 20.8
Total magnetization (μB per atom): 0.383

***

VASP calculation (GGA-PBE) on a relaxed PrNpSe3 crystal.

a = 7.778 Å, b = 4.178 Å, c = 16.195 Å
α = 90.00°, β = 90.00°, γ = 90.00°
Space group Pnma (No. 62)
Symmetry-distinct sites (fractional):
Pr  0.131  0.250  0.204 x4
Np  0.233  0.750  0.460 x4
Se  0.010  0.250  0.396 x4
Se  0.126  0.750  0.065 x4
Se  0.155  0.250  0.784 x4

Properties
Fermi-level density of states (states/eV/cell): 46.2
Total magnetization (μB per atom): 0.791

***

VASP calculation (GGA-PBE) on a relaxed Pr2NpSe6 crystal.

a = 6.796 Å, b = 6.796 Å, c = 12.929 Å
α = 90.00°, β = 90.00°, γ = 90.00°
Space group P4_2/mnm (No. 136)
Symmetry-distinct sites (fractional):
Pr  0.000  0.000  0.166 x4
Np  0.000  0.000  0.500 x2
Se  0.191  0.191  0.347 x8
Se  0.215  0.215  0.000 x4

Properties
Fermi-level density of states (states/eV/cell): 7.6
Total magnetization (μB per atom): 0.122

***

VASP calculation (GGA-PBE) on a relaxed PrNpSe3 crystal.

a = 4.179 Å, b = 6.952 Å, c = 9.186 Å
α = 90.00°, β = 90.00°, γ = 90.00°
Space group Pmmn (No. 59, origin choice 2)
Symmetry-distinct sites (fractional):
Pr  0.250  0.250  0.151 x2
Np  0.250  0.750  0.401 x2
Se  0.250  0.519  0.669 x4
Se  0.250  0.750  0.074 x2

Properties
Fermi-level density of states (states/eV/cell): 21.0
Total magnetization (μB per atom): 0.796

***

VASP calculation (GGA-PBE) on a relaxed Pr2NpSe4 crystal.

a = 4.119 Å, b = 14.039 Å, c = 14.068 Å
α = 90.00°, β = 90.00°, γ = 90.00°
Space group Cmcm (No. 63)
Symmetry-distinct sites (fractional):
Pr  0.000  0.132  0.070 x8
Np  0.000  0.377  0.250 x4
Se  0.000  0.025  0.250 x4
Se  0.000  0.223  0.627 x8
Se  0.000  0.500  0.000 x4

Properties
Fermi-level density of states (states/eV/cell): 40.4
Total magnetization (μB per atom): 0.628

***

VASP calculation (GGA-PBE) on a relaxed Pr5NpSe8 crystal.

a = 8.976 Å, b = 8.976 Å, c = 8.959 Å
α = 90.00°, β = 90.00°, γ = 90.00°
Space group I-4 (No. 82)
Symmetry-distinct sites (fractional):
Pr  0.000  0.000  0.000 x2
Pr  0.124  0.251  0.623 x8
Np  0.000  0.500  0.250 x2
Se  0.074  0.178  0.298 x8
Se  0.076  0.326  0.951 x8

Properties
Fermi-level density of states (states/eV/cell): 36.5
Total magnetization (μB per atom): 0.401

***

VASP calculation (GGA-PBE) on a relaxed PrNpTeSe2 crystal.

a = 4.618 Å, b = 4.618 Å, c = 14.132 Å
α = 90.00°, β = 90.00°, γ = 90.00°
Space group I4mm (No. 107)
Symmetry-distinct sites (fractional):
Pr  0.000  0.000  0.000 x2
Np  0.000  0.000  0.259 x2
Te  0.000  0.000  0.629 x2
Se  0.000  0.500  0.374 x4

Properties
Fermi-level density of states (states/eV/cell): 26.7
Total magnetization (μB per atom): 0.800

***

VASP calculation (GGA-PBE) on a relaxed PrNpTl2Se4 crystal.

a = 7.456 Å, b = 4.296 Å, c = 8.127 Å
α = 90.00°, β = 107.78°, γ = 90.00°
Space group P2/m (No. 10)
Symmetry-distinct sites (fractional):
Pr  0.000  0.000  0.000 x1
Np  0.500  0.500  0.000 x1
Tl  0.000  0.500  0.500 x1
Tl  0.500  0.000  0.500 x1
Se  0.243  0.500  0.211 x2
Se  0.272  0.000  0.794 x2

Properties
Fermi-level density of states (states/eV/cell): 7.5
Total magnetization (μB per atom): 0.500

***

VASP calculation (GGA-PBE) on a relaxed Pr3NpTl4Se8 crystal.

a = 8.6645 Å, b = 8.6645 Å, c = 23.2097 Å
α = 90.00°, β = 90.00°, γ = 120.00°
Space group R-3m (No. 166, hexagonal axes)
Symmetry-distinct sites (fractional):
Pr  0.0000  0.5000  0.0000 x9
Np  0.0000  0.0000  0.0000 x3
Tl  0.0000  0.0000  0.5000 x3
Tl  0.0000  0.5000  0.5000 x9
Se  0.0000  0.0000  0.2622 x6
Se  0.0063  0.5032  0.7366 x18

Properties
Fermi-level density of states (states/eV/cell): 16.1
Total magnetization (μB per atom): 0.250

***

VASP calculation (GGA-PBE) on a relaxed PrNpSi crystal.

a = 16.852 Å, b = 3.754 Å, c = 4.491 Å
α = 90.00°, β = 92.00°, γ = 90.00°
Space group C2/m (No. 12)
Symmetry-distinct sites (fractional):
Pr  0.073  0.000  0.254 x4
Np  0.243  0.500  0.317 x4
Si  0.125  0.500  0.769 x4

Properties
Fermi-level density of states (states/eV/cell): 16.3
Total magnetization (μB per atom): 0.807

***

VASP calculation (GGA-PBE) on a relaxed PrNpSi2 crystal.

a = 4.6465 Å, b = 4.6465 Å, c = 15.3188 Å
α = 90.00°, β = 90.00°, γ = 120.00°
Space group R-3m (No. 166, hexagonal axes)
Symmetry-distinct sites (fractional):
Pr  0.0000  0.0000  0.0000 x3
Np  0.0000  0.0000  0.5000 x3
Si  0.0000  0.0000  0.2339 x6

Properties
Fermi-level density of states (states/eV/cell): 27.1
Total magnetization (μB per atom): 0.920

***

Looking at electronic total energy for the records above, in order, we have -6.387; -6.496; -7.161; -6.057; -7.124; -6.781; -6.370; -6.588; -5.678; -5.289; -7.972; -7.262 eV per atom.